1.
! LiGdTaOs GGA-PBE relaxed; values from VASP
! ΔE_f	0.028	eV per atom
! DOS(E_F)	2.3	states/eV/cell
! crystal system	cubic
! volume	73	Å³/cell
&SYSTEM
  ibrav = 0, nat = 4, ntyp = 4
/
ATOMIC_SPECIES
Li 6.94 Li.upf
Gd 157.25 Gd.upf
Ta 180.95 Ta.upf
Os 190.23 Os.upf
CELL_PARAMETERS angstrom
0.0000 3.3135 3.3135
3.3135 0.0000 3.3135
3.3135 3.3135 0.0000
ATOMIC_POSITIONS crystal
Li 0.0000 0.0000 0.0000
Gd 0.7500 0.7500 0.7500
Ta 0.2500 0.2500 0.2500
Os 0.5000 0.5000 0.5000


2.
! NaSbBr3 GGA-PBE relaxed; values from VASP
! polymorph energy (0 for the lowest one)	0.000	eV/atom
! crystal system	triclinic
! volume	363	Å³/cell
! energy relative to the elements, uncorrected	-0.886	eV per atom
&SYSTEM
  ibrav = 0, nat = 10, ntyp = 3
/
ATOMIC_SPECIES
Na 22.99 Na.upf
Sb 121.76 Sb.upf
Br 79.90 Br.upf
CELL_PARAMETERS angstrom
5.9017 0.0000 0.0000
0.1337 5.9027 0.0000
1.5614 1.4957 10.4153
ATOMIC_POSITIONS crystal
Na 0.2504 0.2490 0.0008
Na 0.7496 0.7510 0.9992
Sb 0.4061 0.9052 0.6341
Sb 0.5939 0.0948 0.3659
Br 0.1805 0.1593 0.3124
Br 0.2589 0.7584 0.9646
Br 0.3429 0.3180 0.6889
Br 0.6571 0.6820 0.3111
Br 0.7411 0.2416 0.0354
Br 0.8195 0.8407 0.6876


3.
! Ce2NpS3 GGA-PBE relaxed; values from VASP
! DOS(E_F)	12.9	states/eV/cell
! crystal system	tetragonal
! volume	134	Å³/cell
! energy relative to the elements, uncorrected	-1.814	eV per atom
&SYSTEM
  ibrav = 0, nat = 6, ntyp = 3
/
ATOMIC_SPECIES
Ce 140.12 Ce.upf
Np 237.00 Np.upf
S 32.06 S.upf
CELL_PARAMETERS angstrom
-1.9878 1.9878 8.4682
1.9878 -1.9878 8.4682
1.9878 1.9878 -8.4682
ATOMIC_POSITIONS crystal
Ce 0.1673 0.1673 0.0000
Ce 0.8327 0.8327 0.0000
Np 0.5000 0.5000 0.0000
S 0.0000 0.0000 0.0000
S 0.3352 0.3352 0.0000
S 0.6648 0.6648 0.0000


4.
! YAlZn2Ag4 GGA-PBE relaxed; values from VASP
! ΔE_f	-0.135	eV per atom
! DOS(E_F)	3.6	states/eV/cell
! crystal system	trigonal
! volume	150	Å³/cell
&SYSTEM
  ibrav = 0, nat = 8, ntyp = 4
/
ATOMIC_SPECIES
Y 88.91 Y.upf
Al 26.98 Al.upf
Zn 65.41 Zn.upf
Ag 107.87 Ag.upf
CELL_PARAMETERS angstrom
2.2678 1.3093 8.3995
-2.2678 1.3093 8.3995
0.0000 -2.6186 8.3995
ATOMIC_POSITIONS crystal
Y 0.0000 0.0000 0.0000
Al 0.5000 0.5000 0.5000
Zn 0.2529 0.2529 0.2529
Zn 0.7471 0.7471 0.7471
Ag 0.1311 0.1311 0.1311
Ag 0.3964 0.3964 0.3964
Ag 0.6036 0.6036 0.6036
Ag 0.8689 0.8689 0.8689


5.
! TeRhS2N GGA-PBE relaxed; values from VASP
! polymorph energy (0 for the lowest one)	0.880	eV/atom
! DOS(E_F)	7.4	states/eV/cell
! crystal system	tetragonal
! volume	100	Å³/cell
! energy relative to the elements, uncorrected	1.406	eV per atom
&SYSTEM
  ibrav = 0, nat = 5, ntyp = 4
/
ATOMIC_SPECIES
Te 127.60 Te.upf
Rh 102.91 Rh.upf
S 32.06 S.upf
N 14.01 N.upf
CELL_PARAMETERS angstrom
5.0836 0.0000 0.0000
0.0000 5.0836 0.0000
0.0000 0.0000 3.8569
ATOMIC_POSITIONS crystal
Te 0.0000 0.0000 0.0000
Rh 0.5000 0.5000 0.5000
S 0.0000 0.5000 0.0000
S 0.5000 0.0000 0.0000
N 0.0000 0.0000 0.5000


6.
! TlSiAg2Te4 GGA-PBE relaxed; values from VASP
! DOS(E_F)	2.8	states/eV/cell
! crystal system	orthorhombic
! volume	251	Å³/cell
! energy relative to the elements, uncorrected	-0.108	eV per atom
&SYSTEM
  ibrav = 0, nat = 8, ntyp = 4
/
ATOMIC_SPECIES
Tl 204.38 Tl.upf
Si 28.09 Si.upf
Ag 107.87 Ag.upf
Te 127.60 Te.upf
CELL_PARAMETERS angstrom
-3.7557 3.7562 4.4547
3.7557 -3.7562 4.4547
3.7557 3.7562 -4.4547
ATOMIC_POSITIONS crystal
Tl 0.0000 0.0000 0.0000
Si 0.5000 0.5000 0.0000
Ag 0.2476 0.7476 0.5000
Ag 0.7524 0.2524 0.5000
Te 0.1457 0.5454 0.0003
Te 0.4549 0.4546 0.6002
Te 0.5451 0.1453 0.9997
Te 0.8543 0.8547 0.3998


7.
! Tc3Se2 GGA-PBE relaxed; values from VASP
! DOS(E_F)	2.4	states/eV/cell
! crystal system	trigonal
! volume	77	Å³/cell
! energy relative to the elements, uncorrected	0.157	eV per atom
&SYSTEM
  ibrav = 0, nat = 5, ntyp = 2
/
ATOMIC_SPECIES
Tc 98.00 Tc.upf
Se 78.96 Se.upf
CELL_PARAMETERS angstrom
1.4841 0.8568 10.1172
-1.4841 0.8568 10.1172
0.0000 -1.7137 10.1172
ATOMIC_POSITIONS crystal
Tc 0.0000 0.0000 0.0000
Tc 0.1998 0.1998 0.1998
Tc 0.8002 0.8002 0.8002
Se 0.3968 0.3968 0.3968
Se 0.6032 0.6032 0.6032


8.
! Tb5Ho4Er3 GGA-PBE relaxed; values from VASP
! ΔE_f	0.018	eV per atom
! polymorph energy (0 for the lowest one)	0.000	eV/atom
! DOS(E_F)	15.2	states/eV/cell
! crystal system	triclinic
! volume	372	Å³/cell
&SYSTEM
  ibrav = 0, nat = 12, ntyp = 3
/
ATOMIC_SPECIES
Tb 158.93 Tb.upf
Ho 164.93 Ho.upf
Er 167.26 Er.upf
CELL_PARAMETERS angstrom
6.1053 0.0000 0.0000
-0.0173 7.0567 0.0000
-0.0117 -0.0038 8.6283
ATOMIC_POSITIONS crystal
Tb 0.0000 0.0000 0.0000
Tb 0.3327 0.4999 0.3338
Tb 0.4997 0.2498 0.0000
Tb 0.5003 0.7502 0.0000
Tb 0.6673 0.5001 0.6662
Ho 0.1664 0.7501 0.6663
Ho 0.3337 0.9999 0.3339
Ho 0.6663 0.0001 0.6661
Ho 0.8336 0.2499 0.3337
Er 0.0000 0.5000 0.0000
Er 0.1666 0.2498 0.6663
Er 0.8334 0.7502 0.3337